CrMo2N3: optimized geometry, PBE.

Cell: 2.813 3.686 11.381 Å, 90.00 90.00 90.00°
Element x y z (fractional)
Cr 0.000 0.000 0.000
Cr 0.500 0.500 0.500
Mo 0.000 0.000 0.353
Mo 0.000 0.000 0.647
Mo 0.500 0.500 0.147
Mo 0.500 0.500 0.853
N 0.000 0.000 0.173
N 0.000 0.000 0.827
N 0.000 0.500 0.000
N 0.500 0.000 0.500
N 0.500 0.500 0.327
N 0.500 0.500 0.673

The value obtained for the energy relative to the elements, uncorrected is -0.3 eV per formula unit.